Entry from Alexandria: Tb4Tm9Tl11 after structural relaxation (PBE).

Results
Total DFT energy (no corrections), eV per atom: -3.7682
DOS at the Fermi energy, states/eV/f.u.: 21.15
Magnetic moment, μB per atom: 0.000

a = 16.0758 Å, b = 22.8692 Å, c = 3.5497 Å
α = 90.00°, β = 90.00°, γ = 90.00°
With the nearest neighbours (Å) after each atom.
Space group Cmmm (No. 65)
Unique sites:
Tb1 0.1672 0.0812 0.0000 [8 per cell]  6 Tl 3.24-3.37, 3 Tm 3.27-3.61, 2 Tb 3.55
Tm1 0.0000 0.0000 0.0000 [2 per cell]  4 Tb 3.27, 4 Tl 3.34, 2 Tm 3.55
Tm2 0.1088 0.4056 0.0000 [8 per cell]  8 Tl 3.23-3.30, 3 Tm 3.50-3.55, 1 Tb 3.61
Tm3 0.1133 0.2270 0.0000 [8 per cell]  8 Tl 3.21-3.47, 1 Tb 3.45, 2 Tm 3.55
Tl1 0.0000 0.1238 0.5000 [4 per cell]  6 Tm 3.34-3.47, 4 Tb 3.37, 2 Tl 3.55
Tl2 0.0000 0.3129 0.5000 [4 per cell]  8 Tm 3.21-3.27, 2 Tl 3.55
Tl3 0.0000 0.5000 0.5000 [2 per cell]  8 Tm 3.30, 4 Tl 3.37-3.55
Tl4 0.2097 0.5000 0.5000 [4 per cell]  4 Tm 3.23, 4 Tb 3.24, 3 Tl 3.37-3.55
Tl5 0.2293 0.3197 0.5000 [8 per cell]  3 Tl 3.26-3.55, 6 Tm 3.27-3.33, 2 Tb 3.33

---

Entry from Alexandria: TiCr2Ir after structural relaxation (PBE).

Results
Total DFT energy (no corrections), eV per atom: -9.1143
DOS at the Fermi energy, states/eV/f.u.: 5.80
Polymorph energy (0 for the lowest one), kJ/mol of atoms: 0.0
Magnetic moment, μB per atom: 0.001

a = 5.9756 Å, b = 5.9756 Å, c = 5.9756 Å
α = 90.00°, β = 90.00°, γ = 90.00°
With the nearest neighbours (Å) after each atom.
Space group Fm-3m (No. 225)
Unique sites:
Ti1 0.0000 0.0000 0.0000 [4 per cell]  8 Cr 2.59
Cr1 0.2500 0.2500 0.2500 [8 per cell]  4 Ir 2.59, 4 Ti 2.59
Ir1 0.0000 0.0000 0.5000 [4 per cell]  8 Cr 2.59

---

Entry from Alexandria: CaBeRu4 after structural relaxation (PBE).

Results
Total DFT energy (no corrections), eV per atom: -6.6817
DOS at the Fermi energy, states/eV/f.u.: 7.55
Magnetic moment, μB per atom: 0.361

a = 7.3310 Å, b = 7.3310 Å, c = 7.3310 Å
α = 90.00°, β = 90.00°, γ = 90.00°
With the nearest neighbours (Å) after each atom.
Space group F-43m (No. 216)
Unique sites:
Ca1 0.0000 0.0000 0.0000 [4 per cell]  12 Ru 3.04, 4 Be 3.17
Be1 0.2500 0.2500 0.2500 [4 per cell]  12 Ru 3.04, 4 Ca 3.17
Ru1 0.1242 0.1242 0.6242 [16 per cell]  6 Ru 2.58-2.61

---

Entry from Alexandria: Ce3HoSc2Te6 after structural relaxation (PBE).

Results
Total DFT energy (no corrections), eV per atom: -5.7523
DOS at the Fermi energy, states/eV/f.u.: 23.36
Magnetic moment, μB per atom: 0.296
Formation energy from raw total energies, eV/f.u.: -15.1

a = 7.4651 Å, b = 12.9499 Å, c = 7.6747 Å
α = 90.00°, β = 108.98°, γ = 90.00°
With the nearest neighbours (Å) after each atom.
Space group C2/m (No. 12)
Unique sites:
Ce1 0.0000 0.0000 0.0000 [2 per cell]  6 Te 3.14-3.19
Ce2 0.0000 0.3382 0.0000 [4 per cell]  6 Te 3.16-3.19
Ho1 0.0000 0.5000 0.5000 [2 per cell]  6 Te 3.03-3.05
Sc1 0.0000 0.1683 0.5000 [4 per cell]  6 Te 2.96-2.97
Te1 0.2327 0.0000 0.7250 [4 per cell]  2 Sc 2.97, 1 Ho 3.03, 3 Ce 3.14-3.18
Te2 0.2479 0.3294 0.7308 [8 per cell]  2 Sc 2.96-2.97, 1 Ho 3.05, 3 Ce 3.16-3.19

---

Entry from Alexandria: Ga2Si4Mo3 after structural relaxation (PBE).

Results
Total DFT energy (no corrections), eV per atom: -7.0640
DOS at the Fermi energy, states/eV/f.u.: 3.97
Magnetic moment, μB per atom: 0.000
Formation energy from raw total energies, eV/f.u.: -3.3

a = 4.7327 Å, b = 8.2220 Å, c = 6.5688 Å
α = 90.00°, β = 90.36°, γ = 90.00°
With the nearest neighbours (Å) after each atom.
Space group C2 (No. 5)
Unique sites:
Ga1 0.2474 0.0000 0.3380 [4 per cell]  5 Si 2.57-2.78, 5 Mo 2.62-2.76
Si1 0.0000 0.0745 0.0000 [2 per cell]  5 Mo 2.57-2.78, 2 Ga 2.58, 3 Si 2.62-2.80
Si2 0.0000 0.7564 0.0000 [2 per cell]  5 Mo 2.53-2.83, 5 Si 2.54-2.80
Si3 0.2431 0.8324 0.6689 [4 per cell]  1 Si 2.54, 5 Mo 2.57-2.77, 4 Ga 2.57-2.78
Mo1 0.0000 0.4126 0.0000 [2 per cell]  8 Si 2.57-2.83, 2 Ga 2.63
Mo2 0.2499 0.1697 0.6757 [4 per cell]  6 Si 2.53-2.77, 4 Ga 2.62-2.76

---

Entry from Alexandria: Bi2As2Rh3 after structural relaxation (PBE).

Results
Total DFT energy (no corrections), eV per atom: -5.9040
DOS at the Fermi energy, states/eV/f.u.: 4.12
Magnetic moment, μB per atom: 0.000

a = 6.6716 Å, b = 6.8776 Å, c = 6.8428 Å
α = 90.00°, β = 112.65°, γ = 90.00°
With the nearest neighbours (Å) after each atom.
Space group P2_1/c (No. 14)
Unique sites:
Bi1 0.1464 0.1522 0.4016 [4 per cell]  5 Rh 2.74-3.03
As1 0.3608 0.6564 0.6535 [4 per cell]  4 Rh 2.43-2.47
Rh1 0.0000 0.0000 0.0000 [2 per cell]  2 As 2.47, 4 Bi 2.74-2.76
Rh2 0.3128 0.5332 0.3007 [4 per cell]  3 As 2.43-2.46